No. 1
## Zr2MnHgC (GGA-PBE)

Data for a relaxed Zr2MnHgC crystal.

abc: 4.673 4.673 3.792
angles: 90.00 90.00 90.00
Last column: magnetic moment on the atom in μB.
Atoms (fractional coordinates):
Mn 0.000 0.000 0.500  0.99
Zr 0.500 0.000 0.000  -0.11
Zr 0.000 0.500 0.000  -0.11
C 0.000 0.000 0.000  -0.03
Hg 0.500 0.500 0.500  -0.02

Magnetic moment: 0.61 μB/f.u.
DFT formation energy: -311.5 meV/atom
Mass density: 9.023 Mg/m³
Volume: 83 Å³ per cell
DOS at the Fermi energy: 0.667 states/eV per atom

=====

No. 2
## Ho4PtC2 (GGA-PBE)

Data for a relaxed Ho4PtC2 crystal.

abc: 3.654 6.317 12.594
angles: 90.00 90.00 106.81
Atoms (fractional coordinates):
Ho 0.500 0.000 0.500
Ho 0.768 0.537 0.108
Ho 0.500 0.000 0.000
Ho 0.768 0.537 0.392
Ho 0.232 0.463 0.608
Ho 0.232 0.463 0.892
Ho 0.066 0.132 0.250
Ho 0.934 0.868 0.750
Pt 0.388 0.776 0.250
Pt 0.612 0.224 0.750
C 0.135 0.271 0.061
C 0.135 0.271 0.439
C 0.865 0.729 0.939
C 0.865 0.729 0.561

Magnetic moment: 0.00 μB/f.u.
DFT formation energy: -530.6 meV/atom
Mass density: 10.488 Mg/m³
Volume: 278 Å³ per cell
DOS at the Fermi energy: 0.891 states/eV per atom

=====

No. 3
## Ba2CaP (GGA-PBE)

Data for a relaxed Ba2CaP crystal.

abc: 4.513 4.513 11.548
angles: 78.62 78.62 60.05
Atoms (fractional coordinates):
Ca 0.750 0.750 0.750
Ba 0.969 0.969 0.093
Ba 0.531 0.531 0.407
P 0.250 0.250 0.250

Magnetic moment: 0.01 μB/f.u.
DFT formation energy: -526.7 meV/atom
Mass density: 2.893 Mg/m³
Volume: 198 Å³ per cell
DOS at the Fermi energy: 0.892 states/eV per atom

=====

No. 4
## Na2HfRe (GGA-PBE)

Data for a relaxed Na2HfRe crystal.

abc: 3.822 3.822 12.126
angles: 80.93 80.93 90.00
Atoms (fractional coordinates):
Hf 0.250 0.750 0.500
Hf 0.500 0.500 0.000
Re 0.750 0.250 0.500
Re 0.000 0.000 0.000
Na 0.639 0.125 0.250
Na 0.375 0.361 0.750
Na 0.111 0.625 0.250
Na 0.875 0.889 0.750

Magnetic moment: 0.00 μB/f.u.
DFT formation energy: 825.5 meV/atom
Mass density: 7.899 Mg/m³
Energy above the most stable polymorph in this dataset: 0.000 eV/atom
Volume: 173 Å³ per cell
DOS at the Fermi energy: 1.189 states/eV per atom

=====

No. 5
## RbNa2I (GGA-PBE)

Data for a relaxed RbNa2I crystal.

abc: 6.371 6.371 6.371
angles: 60.00 60.00 60.00
Atoms (fractional coordinates):
I 0.500 0.500 0.500
Na 0.750 0.750 0.750
Na 0.250 0.250 0.250
Rb 0.000 0.000 0.000

Magnetic moment: 0.00 μB/f.u.
Raw formation energy: -0.30 eV per atom
Mass density: 2.346 Mg/m³
Energy above the most stable polymorph in this dataset: 0.186 eV/atom
Volume: 183 Å³ per cell
DOS at the Fermi energy: 0.629 states/eV per atom

=====

No. 6
## GeAuSe2N (GGA-PBE)

Data for a relaxed GeAuSe2N crystal.

abc: 5.343 5.343 3.779
angles: 90.00 90.00 90.00
Atoms (fractional coordinates):
N 0.000 0.000 0.500
Ge 0.500 0.500 0.500
Au 0.000 0.000 0.000
Se 0.000 0.500 0.000
Se 0.500 0.000 0.000

Magnetic moment: 0.00 μB/f.u.
Raw formation energy: 0.97 eV per atom
Mass density: 6.795 Mg/m³
Energy above the most stable polymorph in this dataset: 0.159 eV/atom
Volume: 108 Å³ per cell
DOS at the Fermi energy: 0.639 states/eV per atom

=====

Question: Among the records above, which one has the highest magnetic moment?
Answer: Zr2MnHgC